1.
The following is a DFT calculation (PBE-GGA) of a relaxed Tb4Sm2Er2Tm crystal.

The structure in POSCAR format:
```
Tb4Sm2Er2Tm
1.0
9.3117 -1.7938 0.0000
9.3117 1.7938 0.0000
-4.1374 0.0000 8.5887
Tb Sm Er Tm
4 2 2 1
Direct
0.0181 0.0181 0.3298
0.3155 0.3155 0.6687
0.6845 0.6845 0.3313
0.9819 0.9819 0.6702
0.3517 0.3517 0.3328
0.6483 0.6483 0.6672
0.1663 0.1663 0.0006
0.8337 0.8337 0.9994
0.5000 0.5000 0.0000
```

Values from the calculation:
**Energy relative to the elements**: 1 kJ per mole of atoms
**N(E_F)**: 12.0 states/eV/cell


2.
The following is a DFT calculation (PBE-GGA) of a relaxed RbNCl2 crystal.

The structure in POSCAR format:
```
RbNCl2
1.0
0.0000 3.8710 3.8710
3.8710 0.0000 3.8710
3.8710 3.8710 0.0000
Rb N Cl
1 1 2
Direct
0.0000 0.0000 0.0000
0.5000 0.5000 0.5000
0.2500 0.2500 0.2500
0.7500 0.7500 0.7500
```

Values from the calculation:
**ΔE to the lowest computed polymorph**: 735 meV per atom
**N(E_F)**: 7.4 states/eV/cell


3.
The following is a DFT calculation (PBE-GGA) of a relaxed SrCd3GaAg crystal.

The structure in POSCAR format:
```
SrCd3GaAg
1.0
3.5886 -6.7427 0.0000
3.5886 6.7427 0.0000
0.0000 0.0000 6.3404
Sr Cd Ga Ag
2 6 2 2
Direct
0.2127 0.7873 0.7500
0.7873 0.2127 0.2500
0.2016 0.2016 0.0000
0.2016 0.2016 0.5000
0.3513 0.6487 0.2500
0.6487 0.3513 0.7500
0.7984 0.7984 0.0000
0.7984 0.7984 0.5000
0.1423 0.8577 0.2500
0.8577 0.1423 0.7500
0.4377 0.5623 0.7500
0.5623 0.4377 0.2500
```

Values from the calculation:
**Energy relative to the elements**: -11 kJ per mole of atoms
**N(E_F)**: 3.4 states/eV/cell


4.
The following is a DFT calculation (PBE-GGA) of a relaxed Ti3AgF crystal.

The structure in POSCAR format:
```
Ti3AgF
1.0
4.2323 0.0000 0.0000
0.0000 4.2323 0.0000
0.0000 0.0000 4.2323
Ti Ag F
3 1 1
Direct
0.0000 0.0000 0.5000
0.0000 0.5000 0.0000
0.5000 0.0000 0.0000
0.5000 0.5000 0.5000
0.0000 0.0000 0.0000
```

Values from the calculation:
**ΔE to the lowest computed polymorph**: 0 meV per atom
**N(E_F)**: 4.9 states/eV/cell


5.
The following is a DFT calculation (PBE-GGA) of a relaxed KRbLi2Ge crystal.

The structure in POSCAR format:
```
KRbLi2Ge
1.0
5.6636 0.0000 0.0000
0.0000 5.6636 0.0000
0.0000 0.0000 6.4184
K Rb Li Ge
1 1 2 1
Direct
0.0000 0.0000 0.0000
0.0000 0.0000 0.5000
0.0000 0.5000 0.0000
0.5000 0.0000 0.0000
0.5000 0.5000 0.5000
```

Values from the calculation:
**Energy relative to the elements**: 80 kJ per mole of atoms
**ΔE to the lowest computed polymorph**: 832 meV per atom
**N(E_F)**: 4.2 states/eV/cell


6.
The following is a DFT calculation (PBE-GGA) of a relaxed FeCoBr2 crystal.

The structure in POSCAR format:
```
FeCoBr2
1.0
0.0000 3.3514 3.3514
3.3514 0.0000 3.3514
3.3514 3.3514 0.0000
Fe Co Br
1 1 2
Direct
0.0000 0.0000 0.0000
0.7500 0.7500 0.7500
0.2500 0.2500 0.2500
0.5000 0.5000 0.5000
```

Values from the calculation:
**ΔE to the lowest computed polymorph**: 996 meV per atom
**N(E_F)**: 6.0 states/eV/cell


7.
The following is a DFT calculation (PBE-GGA) of a relaxed Sm6CuTc2 crystal.

The structure in POSCAR format:
```
Sm6CuTc2
1.0
-4.8386 4.9025 5.1151
4.8386 -4.9025 5.1151
4.8386 4.9025 -5.1151
Sm Cu Tc
12 2 4
Direct
0.0252 0.8159 0.2093
0.2233 0.5222 0.2989
0.2233 0.9244 0.7011
0.2837 0.3124 0.5961
0.2837 0.6876 0.9713
0.3933 0.1841 0.2093
0.6067 0.8159 0.7907
0.7163 0.3124 0.0287
0.7163 0.6876 0.4039
0.7767 0.0756 0.2989
0.7767 0.4778 0.7011
0.9748 0.1841 0.7907
0.0000 0.5000 0.5000
0.5000 0.0000 0.5000
0.0000 0.1267 0.1267
0.0000 0.8733 0.8733
0.3838 0.3838 0.0000
0.6162 0.6162 0.0000
```

Values from the calculation:
**Energy relative to the elements**: 0 kJ per mole of atoms
**N(E_F)**: 16.7 states/eV/cell


8.
The following is a DFT calculation (PBE-GGA) of a relaxed LaTbHoAg crystal.

The structure in POSCAR format:
```
LaTbHoAg
1.0
0.0000 3.8723 3.8723
3.8723 0.0000 3.8723
3.8723 3.8723 0.0000
La Tb Ho Ag
1 1 1 1
Direct
0.0000 0.0000 0.0000
0.5000 0.5000 0.5000
0.7500 0.7500 0.7500
0.2500 0.2500 0.2500
```

Values from the calculation:
**Energy relative to the elements**: 6 kJ per mole of atoms
**ΔE to the lowest computed polymorph**: 187 meV per atom
**N(E_F)**: 4.3 states/eV/cell


9.
The following is a DFT calculation (PBE-GGA) of a relaxed ErLuGa2 crystal.

The structure in POSCAR format:
```
ErLuGa2
1.0
1.7834 1.0296 8.6546
-1.7834 1.0296 8.6546
0.0000 -2.0593 8.6546
Er Lu Ga
1 1 2
Direct
0.0000 0.0000 0.0000
0.5000 0.5000 0.5000
0.2493 0.2493 0.2493
0.7507 0.7507 0.7507
```

Values from the calculation:
**Energy relative to the elements**: -41 kJ per mole of atoms
**N(E_F)**: 2.0 states/eV/cell


10.
The following is a DFT calculation (PBE-GGA) of a relaxed ReAsRh crystal.

The structure in POSCAR format:
```
ReAsRh
1.0
-1.4743 1.4743 5.1532
1.4743 -1.4743 5.1532
1.4743 1.4743 -5.1532
Re As Rh
1 1 1
Direct
0.0000 0.0000 0.0000
0.6537 0.6537 0.0000
0.3283 0.3283 0.0000
```

Values from the calculation:
**Energy relative to the elements**: 14 kJ per mole of atoms
**ΔE to the lowest computed polymorph**: 86 meV per atom
**N(E_F)**: 2.9 states/eV/cell


What is the formula in the tenth record? ReAsRh